Entry 1:
## PtPbO3 (PBE)

Data for a relaxed structure of PtPbO3.

Properties
E ... -22.26 eV/cell

The structure in CIF format:
```
data_PtPbO3
_cell_length_a 4.183
_cell_length_b 4.183
_cell_length_c 4.183
_cell_angle_alpha 90.00
_cell_angle_beta 90.00
_cell_angle_gamma 90.00
_symmetry_space_group_name_H-M 'P m -3 m'
_symmetry_Int_Tables_number 221
_symmetry_space_group_name_Hall '-P 4 2 3'
loop_
_atom_site_label
_atom_site_fract_x
_atom_site_fract_y
_atom_site_fract_z
Pt1 0.000 0.000 0.000
Pb1 0.500 0.500 0.500
O1 0.000 0.500 0.500
```

=====

Entry 2:
## K2TmSeO6 (PBE)

Data for a relaxed structure of K2TmSeO6.

Properties
E ... -55.52 eV/cell

The structure in CIF format:
```
data_K2TmSeO6
_cell_length_a 6.2550
_cell_length_b 6.2550
_cell_length_c 5.6332
_cell_angle_alpha 90.00
_cell_angle_beta 90.00
_cell_angle_gamma 120.00
_symmetry_space_group_name_H-M 'P -3 m 1'
_symmetry_Int_Tables_number 164
_symmetry_space_group_name_Hall '-P 3 2"'
loop_
_atom_site_label
_atom_site_fract_x
_atom_site_fract_y
_atom_site_fract_z
K1 0.3333 0.6667 0.3977
Tm1 0.0000 0.0000 0.0000
Se1 0.0000 0.0000 0.5000
O1 0.1354 0.2708 0.6959
```

=====

Entry 3:
## YCu2P (PBE)

Data for a relaxed structure of YCu2P.

Properties
Formation energy from the elements ... -0.212 eV per atom
E ... -41.83 eV/cell

The structure in CIF format:
```
data_YCu2P
_cell_length_a 4.327
_cell_length_b 5.191
_cell_length_c 6.140
_cell_angle_alpha 90.00
_cell_angle_beta 90.00
_cell_angle_gamma 90.00
_symmetry_space_group_name_H-M 'C m m 2'
_symmetry_Int_Tables_number 35
loop_
_symmetry_equiv_pos_as_xyz
'x,y,z'
'-x,-y,z'
'-x,y,z'
'x,-y,z'
'x+1/2,y+1/2,z'
'-x+1/2,-y+1/2,z'
'-x+1/2,y+1/2,z'
'x+1/2,-y+1/2,z'
loop_
_atom_site_label
_atom_site_fract_x
_atom_site_fract_y
_atom_site_fract_z
Y1 0.000 0.000 0.000
Cu1 0.000 0.000 0.479
Cu2 0.000 0.500 0.664
P1 0.000 0.500 0.278
```

=====

Entry 4:
## BeP2Ru (PBE)

Data for a relaxed structure of BeP2Ru.

Properties
Formation energy from the elements ... -0.053 eV per atom
E ... -24.03 eV/cell

The structure in CIF format:
```
data_BeP2Ru
_cell_length_a 2.920
_cell_length_b 2.920
_cell_length_c 6.603
_cell_angle_alpha 90.00
_cell_angle_beta 90.00
_cell_angle_gamma 90.00
_symmetry_space_group_name_H-M 'P 4 m m'
_symmetry_Int_Tables_number 99
loop_
_symmetry_equiv_pos_as_xyz
'x,y,z'
'-y,x,z'
'-x,-y,z'
'y,-x,z'
'-x,y,z'
'y,x,z'
'x,-y,z'
'-y,-x,z'
loop_
_atom_site_label
_atom_site_fract_x
_atom_site_fract_y
_atom_site_fract_z
Be1 0.000 0.000 0.000
P1 0.000 0.000 0.603
P2 0.500 0.500 0.177
Ru1 0.500 0.500 0.798
```

=====

Entry 5:
## Mn2CrTc (PBE)

Data for a relaxed structure of Mn2CrTc.

Properties
Formation energy from the elements ... 0.176 eV per atom
E ... -150.51 eV/cell
E above lowest polymorph ... 90 meV per atom

The structure in CIF format:
```
data_Mn2CrTc
_cell_length_a 5.795
_cell_length_b 5.795
_cell_length_c 5.795
_cell_angle_alpha 90.00
_cell_angle_beta 90.00
_cell_angle_gamma 90.00
_symmetry_space_group_name_H-M 'F m -3 m'
_symmetry_Int_Tables_number 225
_symmetry_space_group_name_Hall '-F 4 2 3'
loop_
_atom_site_label
_atom_site_fract_x
_atom_site_fract_y
_atom_site_fract_z
Mn1 0.250 0.250 0.250
Cr1 0.000 0.000 0.000
Tc1 0.000 0.000 0.500
```

=====

Entry 6:
## TaSi2Tc (PBE)

Data for a relaxed structure of TaSi2Tc.

Properties
E ... -33.71 eV/cell
E above lowest polymorph ... 331 meV per atom

The structure in CIF format:
```
data_TaSi2Tc
_cell_length_a 3.310
_cell_length_b 3.868
_cell_length_c 4.627
_cell_angle_alpha 90.00
_cell_angle_beta 90.00
_cell_angle_gamma 90.00
_symmetry_space_group_name_H-M 'P m m m'
_symmetry_Int_Tables_number 47
loop_
_symmetry_equiv_pos_as_xyz
'x,y,z'
'-x,-y,-z'
'-x,-y,z'
'x,y,-z'
'x,-y,-z'
'-x,y,z'
'-x,y,-z'
'x,-y,z'
loop_
_atom_site_label
_atom_site_fract_x
_atom_site_fract_y
_atom_site_fract_z
Ta1 0.000 0.000 0.000
Si1 0.000 0.500 0.500
Si2 0.500 0.500 0.000
Tc1 0.500 0.000 0.500
```

=====

Entry 7:
## TlAg7Au4 (PBE)

Data for a relaxed structure of TlAg7Au4.

Properties
Formation energy from the elements ... 0.136 eV per atom
E ... -67.60 eV/cell

The structure in CIF format:
```
data_TlAg7Au4
_cell_length_a 10.642
_cell_length_b 5.192
_cell_length_c 10.280
_cell_angle_alpha 90.00
_cell_angle_beta 120.55
_cell_angle_gamma 90.00
_symmetry_space_group_name_H-M 'C 1 2/m 1'
_symmetry_Int_Tables_number 12
loop_
_symmetry_equiv_pos_as_xyz
'x,y,z'
'-x,-y,-z'
'-x,y,-z'
'x,-y,z'
'x+1/2,y+1/2,z'
'-x+1/2,-y+1/2,-z'
'-x+1/2,y+1/2,-z'
'x+1/2,-y+1/2,z'
loop_
_atom_site_label
_atom_site_fract_x
_atom_site_fract_y
_atom_site_fract_z
Tl1 0.000 0.000 0.000
Ag1 0.000 0.500 0.000
Ag2 0.109 0.000 0.451
Ag3 0.153 0.500 0.618
Ag4 0.205 0.500 0.912
Au1 0.092 0.500 0.317
Au2 0.191 0.000 0.770
```

=====

Entry 8:
## Mn2Ir3 (PBE)

Data for a relaxed structure of Mn2Ir3.

Properties
Formation energy from the elements ... -0.027 eV per atom
E ... -135.17 eV/cell
E above lowest polymorph ... 34 meV per atom

The structure in CIF format:
```
data_Mn2Ir3
_cell_length_a 2.6986
_cell_length_b 2.6986
_cell_length_c 32.0700
_cell_angle_alpha 90.00
_cell_angle_beta 90.00
_cell_angle_gamma 120.00
_symmetry_space_group_name_H-M 'R -3 m'
_symmetry_Int_Tables_number 166
_symmetry_space_group_name_Hall '-R 3 2"'
loop_
_atom_site_label
_atom_site_fract_x
_atom_site_fract_y
_atom_site_fract_z
Mn1 0.0000 0.0000 0.1005
Ir1 0.0000 0.0000 0.2965
Ir2 0.0000 0.0000 0.5000
```

=====

Entry 9:
## Er3Zn9In2 (PBE)

Data for a relaxed structure of Er3Zn9In2.

Properties
Formation energy from the elements ... -0.298 eV per atom
E ... -69.61 eV/cell

The structure in CIF format:
```
data_Er3Zn9In2
_cell_length_a 4.314
_cell_length_b 9.638
_cell_length_c 12.828
_cell_angle_alpha 90.00
_cell_angle_beta 90.00
_cell_angle_gamma 90.00
_symmetry_space_group_name_H-M 'I m m m'
_symmetry_Int_Tables_number 71
_symmetry_space_group_name_Hall '-I 2 2'
loop_
_atom_site_label
_atom_site_fract_x
_atom_site_fract_y
_atom_site_fract_z
Er1 0.000 0.000 0.000
Er2 0.000 0.000 0.296
Zn1 0.000 0.274 0.150
Zn2 0.000 0.372 0.338
Zn3 0.000 0.500 0.000
In1 0.000 0.196 0.500
```

=====

Entry 10:
## CoNiAg3 (PBE)

Data for a relaxed structure of CoNiAg3.

Properties
Formation energy from the elements ... 1.299 eV per atom
E ... -14.95 eV/cell

The structure in CIF format:
```
data_CoNiAg3
_cell_length_a 4.733
_cell_length_b 4.733
_cell_length_c 4.733
_cell_angle_alpha 90.00
_cell_angle_beta 90.00
_cell_angle_gamma 90.00
_symmetry_space_group_name_H-M 'P m -3 m'
_symmetry_Int_Tables_number 221
_symmetry_space_group_name_Hall '-P 4 2 3'
loop_
_atom_site_label
_atom_site_fract_x
_atom_site_fract_y
_atom_site_fract_z
Co1 0.000 0.000 0.000
Ni1 0.500 0.500 0.500
Ag1 0.000 0.000 0.500
```

=====

Entry 11:
## MnRh2W (PBE)

Data for a relaxed structure of MnRh2W.

Properties
Formation energy from the elements ... -0.051 eV per atom
E ... -74.06 eV/cell
E above lowest polymorph ... 117 meV per atom

The structure in CIF format:
```
data_MnRh2W
_cell_length_a 9.060
_cell_length_b 2.772
_cell_length_c 4.684
_cell_angle_alpha 90.00
_cell_angle_beta 100.43
_cell_angle_gamma 90.00
_symmetry_space_group_name_H-M 'C 1 m 1'
_symmetry_Int_Tables_number 8
loop_
_symmetry_equiv_pos_as_xyz
'x,y,z'
'x,-y,z'
'x+1/2,y+1/2,z'
'x+1/2,-y+1/2,z'
loop_
_atom_site_label
_atom_site_fract_x
_atom_site_fract_y
_atom_site_fract_z
Mn1 0.000 0.000 0.000
Rh1 0.004 0.500 0.501
Rh2 0.253 0.000 0.790
W1 0.255 0.500 0.287
```